Entry 1:
Compound: TbTlPbBr6
Source: Alexandria via LeMat-Bulk
Functional: PBE
Structure: relaxed

The uncorrected formation energy is -1351 meV per atom. The spin magnetization comes out at 0.00 μB per atom. For the electronic total energy, the calculation gives -3.66 eV per atom.

The structure belongs to space group P-31c (No. 163); the cell edges are 7.6529, 7.6529 and 14.2360 Å and the angles 90.00°, 90.00° and 120.00°. The inequivalent atoms are Tb at (0.3333, 0.6667, 0.2500), Tl at (0.0000, 0.0000, 0.0000), Pb at (0.3333, 0.6667, 0.7500) and Br at (0.0224, 0.3758, 0.1346).

=====

Entry 2:
Compound: TcPb4Br
Source: Alexandria via LeMat-Bulk
Functional: PBE
Structure: relaxed

The uncorrected formation energy is 709 meV per atom. The spin magnetization comes out at 0.60 μB per atom. For the electronic total energy, the calculation gives -3.77 eV per atom.

The structure belongs to space group F-43m (No. 216); the cell edges are 9.047, 9.047 and 9.047 Å and the angles 90.00°, 90.00° and 90.00°. The inequivalent atoms are Tc at (0.000, 0.000, 0.000), Pb at (0.126, 0.126, 0.374) and Br at (0.250, 0.250, 0.750).

=====

Entry 3:
Compound: TcPbBr4
Source: Alexandria via LeMat-Bulk
Functional: PBE
Structure: relaxed

The uncorrected formation energy is 937 meV per atom. The spin magnetization comes out at 0.57 μB per atom. For the electronic total energy, the calculation gives -2.52 eV per atom.

The structure belongs to space group F-43m (No. 216); the cell edges are 8.926, 8.926 and 8.926 Å and the angles 90.00°, 90.00° and 90.00°. The inequivalent atoms are Tc at (0.000, 0.000, 0.000), Pb at (0.250, 0.250, 0.250) and Br at (0.126, 0.126, 0.626).

=====

Entry 4:
Compound: Tc2PbBr
Source: Alexandria via LeMat-Bulk
Functional: PBE
Structure: relaxed

The uncorrected formation energy is 1083 meV per atom. The spin magnetization comes out at 0.00 μB per atom. The relative energy among the computed polymorphs comes out at 782 meV per atom. For the electronic total energy, the calculation gives -5.45 eV per atom.

The structure belongs to space group C2/m (No. 12); the cell edges are 5.667, 9.511 and 3.390 Å and the angles 90.00°, 121.98° and 90.00°. The inequivalent atoms are Tc at (0.250, 0.250, 0.000), Pb at (0.000, 0.000, 0.500) and Br at (0.000, 0.500, 0.500).

=====

Entry 5:
Compound: Tc2PbBr
Source: Alexandria via LeMat-Bulk
Functional: PBE
Structure: relaxed

The uncorrected formation energy is 416 meV per atom. The spin magnetization comes out at 0.00 μB per atom. The relative energy among the computed polymorphs comes out at 116 meV per atom. For the electronic total energy, the calculation gives -6.11 eV per atom.

The structure belongs to space group Cm (No. 8); the cell edges are 7.073, 4.097 and 7.855 Å and the angles 90.00°, 114.14° and 90.00°. The inequivalent atoms are Tc at (0.000, 0.000, 0.000), Tc at (0.146, 0.500, 0.941), Pb at (0.197, 0.000, 0.686) and Br at (0.144, 0.500, 0.273).

=====

Entry 6:
Compound: TcPb3Br
Source: Alexandria via LeMat-Bulk
Functional: PBE
Structure: relaxed

The uncorrected formation energy is -54 meV per atom. The spin magnetization comes out at 0.00 μB per atom. The relative energy among the computed polymorphs comes out at 0 meV per atom. For the electronic total energy, the calculation gives -4.69 eV per atom.

The structure belongs to space group Pm-3m (No. 221); the cell edges are 5.331, 5.331 and 5.331 Å and the angles 90.00°, 90.00° and 90.00°. The inequivalent atoms are Tc at (0.000, 0.000, 0.000), Pb at (0.000, 0.000, 0.500) and Br at (0.500, 0.500, 0.500).

=====

Entry 7:
Compound: TcPb2Br2
Source: Alexandria via LeMat-Bulk
Functional: PBE
Structure: relaxed

The uncorrected formation energy is 728 meV per atom. The spin magnetization comes out at 0.85 μB per atom. The relative energy among the computed polymorphs comes out at 408 meV per atom. For the electronic total energy, the calculation gives -3.50 eV per atom.

The structure belongs to space group I4/mmm (No. 139); the cell edges are 4.258, 4.258 and 17.750 Å and the angles 90.00°, 90.00° and 90.00°. The inequivalent atoms are Tc at (0.000, 0.000, 0.000), Pb at (0.000, 0.500, 0.250) and Br at (0.000, 0.000, 0.408).

=====

Entry 8:
Compound: TcPbBr
Source: Alexandria via LeMat-Bulk
Functional: PBE
Structure: relaxed

The uncorrected formation energy is 388 meV per atom. The spin magnetization comes out at 0.00 μB per atom. The relative energy among the computed polymorphs comes out at 0 meV per atom. For the electronic total energy, the calculation gives -4.86 eV per atom.

The structure belongs to space group P3m1 (No. 156); the cell edges are 3.3619, 3.3619 and 7.5578 Å and the angles 90.00°, 90.00° and 120.00°. The inequivalent atoms are Tc at (0.0000, 0.0000, 0.0000), Pb at (0.6667, 0.3333, 0.6964) and Br at (0.3333, 0.6667, 0.2094).